Entry 1:
DFT (PBE-GGA) results for a relaxed structure of MnMoHIr2.

Lattice parameters (Å, degrees): 3.895 3.895 3.900 90.00 90.00 90.00
Fractional coordinates of all 5 atoms:
Mn 0.000 0.000 0.000
Mo 0.500 0.500 0.000
H 0.000 0.000 0.500
Ir 0.000 0.500 0.500
Ir 0.500 0.000 0.500

Calculated values
Raw total energy   -41.509 eV per cell
SG   P4/mmm (123)

---

Entry 2:
DFT (PBE-GGA) results for a relaxed structure of Mn6HIr2N.

Lattice parameters (Å, degrees): 5.329 5.323 5.273 60.38 60.27 59.35
Fractional coordinates of all 10 atoms:
Mn 0.243 0.757 0.243
Mn 0.243 0.757 0.757
Mn 0.244 0.244 0.756
Mn 0.756 0.756 0.244
Mn 0.757 0.243 0.243
Mn 0.757 0.243 0.757
H 0.000 0.000 0.000
Ir 0.250 0.250 0.250
Ir 0.750 0.750 0.750
N 0.500 0.500 0.500

Calculated values
Raw total energy   -86.585 eV per cell
SG   Fmmm (69)

---

Entry 3:
DFT (PBE-GGA) results for a relaxed structure of NaMn2HIr.

Lattice parameters (Å, degrees): 4.666 4.666 3.611 90.00 90.00 90.00
Fractional coordinates of all 5 atoms:
Na 0.000 0.000 0.000
Mn 0.000 0.500 0.500
Mn 0.500 0.000 0.500
H 0.500 0.500 0.000
Ir 0.500 0.500 0.500

Calculated values
Raw total energy   -25.844 eV per cell
SG   P4/mmm (123)

---

Entry 4:
DFT (PBE-GGA) results for a relaxed structure of MnNbHIr2.

Lattice parameters (Å, degrees): 3.908 3.908 4.025 90.00 90.00 90.00
Fractional coordinates of all 5 atoms:
Mn 0.000 0.000 0.000
Nb 0.500 0.500 0.000
H 0.500 0.500 0.500
Ir 0.000 0.500 0.500
Ir 0.500 0.000 0.500

Calculated values
Relative energy among the computed polymorphs   76 meV per atom
SG   P4/mmm (123)

---

Entry 5:
DFT (PBE-GGA) results for a relaxed structure of MnNb2HIr.

Lattice parameters (Å, degrees): 4.077 4.077 3.977 90.00 90.00 90.00
Fractional coordinates of all 5 atoms:
Mn 0.000 0.000 0.000
Nb 0.000 0.500 0.500
Nb 0.500 0.000 0.500
H 0.500 0.500 0.500
Ir 0.500 0.500 0.000

Calculated values
Relative energy among the computed polymorphs   87 meV per atom
SG   P4/mmm (123)

---

Entry 6:
DFT (PBE-GGA) results for a relaxed structure of MnNbHIr2.

Lattice parameters (Å, degrees): 3.931 3.931 3.925 90.00 90.00 90.00
Fractional coordinates of all 5 atoms:
Mn 0.000 0.000 0.000
Nb 0.500 0.500 0.000
H 0.000 0.000 0.500
Ir 0.000 0.500 0.500
Ir 0.500 0.000 0.500

Calculated values
Relative energy among the computed polymorphs   0 meV per atom
SG   P4/mmm (123)

---

Entry 7:
DFT (PBE-GGA) results for a relaxed structure of MnNb2HIr.

Lattice parameters (Å, degrees): 4.136 4.136 3.790 90.00 90.00 90.00
Fractional coordinates of all 5 atoms:
Mn 0.000 0.000 0.000
Nb 0.000 0.500 0.500
Nb 0.500 0.000 0.500
H 0.000 0.000 0.500
Ir 0.500 0.500 0.000

Calculated values
Relative energy among the computed polymorphs   0 meV per atom
SG   P4/mmm (123)

---

Entry 8:
DFT (PBE-GGA) results for a relaxed structure of Mn2NbHIr.

Lattice parameters (Å, degrees): 3.882 3.882 3.823 90.00 90.00 90.00
Fractional coordinates of all 5 atoms:
Mn 0.000 0.500 0.000
Mn 0.500 0.000 0.000
Nb 0.000 0.000 0.500
H 0.500 0.500 0.000
Ir 0.500 0.500 0.500

Calculated values
Relative energy among the computed polymorphs   27 meV per atom
SG   P4/mmm (123)